# 1
A plane-wave DFT calculation with PBE-GGA was carried out for a geometry-optimized Tb4MgAu2 structure.

```
7
Lattice="2.521 1.455 9.064 -2.521 1.455 9.064 0.000 -2.911 9.064" Properties=species:S:1:pos:R:3 pbc="T T T"
Tb 0.000 0.000 3.131
Tb 0.000 0.000 7.988
Tb 0.000 0.000 19.204
Tb 0.000 0.000 24.061
Mg 0.000 0.000 13.596
Au 0.000 0.000 10.918
Au 0.000 0.000 16.274
```

Calculated values
- SG: R-3m (166)
- Uncorrected energy: -4.1598 eV per atom
- Theoretical density: 8.8 g cm⁻³
- Formation enthalpy at 0 K: -0.350 eV/atom
- Total moment: 0.0 Bohr magnetons per cell

# 2
A plane-wave DFT calculation with PBE-GGA was carried out for a geometry-optimized Tb2MgAu6 structure.

```
9
Lattice="5.469 -3.145 0.000 5.469 3.145 0.000 -0.007 0.000 5.525" Properties=species:S:1:pos:R:3 pbc="T T T"
Tb 1.820 0.000 0.923
Tb 9.110 0.000 4.602
Mg 5.469 0.000 0.000
Au 4.467 1.720 1.728
Au 3.462 0.000 3.805
Au 6.464 1.720 3.797
Au 4.467 -1.720 1.728
Au 7.468 0.000 1.719
Au 6.464 -1.720 3.797
```

Calculated values
- SG: C2/m (12)
- Uncorrected energy: -4.0085 eV per atom
- ΔE to the lowest computed polymorph: 0.058 eV/atom
- Theoretical density: 13.3 g cm⁻³
- Formation enthalpy at 0 K: -0.617 eV/atom
- Total moment: 0.0 Bohr magnetons per cell

# 3
A plane-wave DFT calculation with PBE-GGA was carried out for a geometry-optimized TbMg2Au3 structure.

```
6
Lattice="3.403 0.000 0.000 0.000 3.403 0.000 0.000 0.000 10.317" Properties=species:S:1:pos:R:3 pbc="T T T"
Tb 0.000 0.000 0.000
Mg 0.000 0.000 3.555
Mg 0.000 0.000 6.761
Au 1.701 1.701 1.943
Au 1.701 1.701 5.158
Au 1.701 1.701 8.373
```

Calculated values
- SG: P4/mmm (123)
- Uncorrected energy: -3.6267 eV per atom
- ΔE to the lowest computed polymorph: 0.022 eV/atom
- Theoretical density: 11.1 g cm⁻³
- Formation enthalpy at 0 K: -0.685 eV/atom
- Total moment: 0.0 Bohr magnetons per cell

# 4
A plane-wave DFT calculation with PBE-GGA was carried out for a geometry-optimized TbMg3Au3 structure.

```
14
Lattice="7.206 0.000 0.000 0.000 7.206 0.000 0.000 0.000 7.206" Properties=species:S:1:pos:R:3 pbc="T T T"
Tb 0.000 0.000 0.000
Tb 3.603 3.603 3.603
Mg 0.000 1.802 3.603
Mg 0.000 5.405 3.603
Mg 1.802 3.603 0.000
Mg 3.603 0.000 1.802
Mg 3.603 0.000 5.405
Mg 5.405 3.603 0.000
Au 0.000 3.603 1.802
Au 0.000 3.603 5.405
Au 1.802 0.000 3.603
Au 3.603 1.802 0.000
Au 3.603 5.405 0.000
Au 5.405 0.000 3.603
```

Calculated values
- SG: Pm-3n (223)
- Uncorrected energy: -2.8055 eV per atom
- Theoretical density: 7.3 g cm⁻³
- Formation enthalpy at 0 K: -0.056 eV/atom
- Total moment: 0.0 Bohr magnetons per cell

# 5
A plane-wave DFT calculation with PBE-GGA was carried out for a geometry-optimized Tb2MgAu6 structure.

```
18
Lattice="4.513 -7.899 0.000 4.513 7.899 0.000 -0.017 0.000 5.205" Properties=species:S:1:pos:R:3 pbc="T T T"
Tb 2.240 1.380 5.205
Tb 2.249 -1.380 2.602
Tb 6.761 1.380 2.603
Tb 6.769 -1.380 0.000
Mg 4.501 3.953 3.904
Mg 4.509 -3.953 1.301
Au 5.262 -6.567 2.580
Au 3.748 6.567 2.626
Au 3.056 3.949 1.289
Au 5.254 6.567 5.182
Au 3.748 1.333 2.625
Au 5.962 3.949 1.314
Au 5.253 1.333 5.182
Au 3.757 -1.333 0.023
Au 3.048 -3.949 3.891
Au 5.261 -1.333 2.580
Au 3.756 -6.567 0.023
Au 5.954 -3.949 3.917
```

Calculated values
- SG: C2/c (15)
- Uncorrected energy: -4.0668 eV per atom
- ΔE to the lowest computed polymorph: 0.000 eV/atom
- Theoretical density: 13.6 g cm⁻³
- Formation enthalpy at 0 K: -0.676 eV/atom
- Total moment: 0.0 Bohr magnetons per cell

# 6
A plane-wave DFT calculation with PBE-GGA was carried out for a geometry-optimized TbMgAu structure.

```
6
Lattice="4.266 0.000 0.000 0.000 4.266 0.000 0.000 0.000 7.705" Properties=species:S:1:pos:R:3 pbc="T T T"
Tb 1.067 1.067 1.137
Tb 3.200 3.200 6.567
Mg 1.067 3.200 3.852
Mg 3.200 1.067 3.852
Au 1.067 1.067 5.824
Au 3.200 3.200 1.881
```

Calculated values
- SG: P4/nmm (129)
- Uncorrected energy: -3.8006 eV per atom
- Theoretical density: 9.0 g cm⁻³
- Formation enthalpy at 0 K: -0.633 eV/atom
- Total moment: 0.0 Bohr magnetons per cell

# 7
A plane-wave DFT calculation with PBE-GGA was carried out for a geometry-optimized TbMgAu4 structure.

```
6
Lattice="0.000 3.948 3.948 3.948 0.000 3.948 3.948 3.948 0.000" Properties=species:S:1:pos:R:3 pbc="T T T"
Tb 0.000 0.000 0.000
Mg 1.974 1.974 1.974
Au 4.932 2.964 2.964
Au 2.964 4.932 2.964
Au 2.964 2.964 4.932
Au 4.932 4.932 4.932
```

Calculated values
- SG: F-43m (216)
- Uncorrected energy: -3.7066 eV per atom
- ΔE to the lowest computed polymorph: 0.163 eV/atom
- Theoretical density: 13.1 g cm⁻³
- Formation enthalpy at 0 K: -0.484 eV/atom
- Total moment: 0.0 Bohr magnetons per cell

# 8
A plane-wave DFT calculation with PBE-GGA was carried out for a geometry-optimized TbMgAu structure.

```
6
Lattice="3.491 0.000 0.000 0.000 3.491 0.000 0.000 0.000 11.486" Properties=species:S:1:pos:R:3 pbc="T T T"
Tb 0.000 0.000 0.000
Tb 1.746 1.746 5.743
Mg 0.000 0.000 8.150
Mg 1.746 1.746 2.407
Au 0.000 0.000 3.915
Au 1.746 1.746 9.658
```

Calculated values
- SG: I4mm (107)
- Uncorrected energy: -3.6693 eV per atom
- Theoretical density: 9.0 g cm⁻³
- Formation enthalpy at 0 K: -0.502 eV/atom
- Total moment: 0.0 Bohr magnetons per cell

# 9
A plane-wave DFT calculation with PBE-GGA was carried out for a geometry-optimized TbMg2Au3 structure.

```
12
Lattice="4.752 0.000 0.000 -2.376 4.116 0.000 0.000 0.000 12.435" Properties=species:S:1:pos:R:3 pbc="T T T"
Tb 0.000 2.744 2.168
Tb 2.376 1.372 10.268
Mg 0.000 0.000 0.000
Mg 0.000 0.000 6.218
Mg 0.000 2.744 8.138
Mg 2.376 1.372 4.297
Au 0.000 0.000 3.441
Au 0.000 0.000 8.994
Au 0.000 2.744 5.241
Au 0.000 2.744 11.585
Au 2.376 1.372 0.850
Au 2.376 1.372 7.194
```

Calculated values
- SG: P-3m1 (164)
- Uncorrected energy: -3.6482 eV per atom
- ΔE to the lowest computed polymorph: 0.000 eV/atom
- Theoretical density: 10.9 g cm⁻³
- Formation enthalpy at 0 K: -0.706 eV/atom
- Total moment: 0.0 Bohr magnetons per cell

# 10
A plane-wave DFT calculation with PBE-GGA was carried out for a geometry-optimized Tb5MgAu4 structure.

```
10
Lattice="3.639 0.000 0.000 0.000 3.639 0.000 0.000 0.000 18.320" Properties=species:S:1:pos:R:3 pbc="T T T"
Tb 0.000 0.000 0.000
Tb 0.000 0.000 3.591
Tb 0.000 0.000 7.149
Tb 0.000 0.000 11.170
Tb 0.000 0.000 14.728
Mg 1.820 1.820 9.160
Au 1.820 1.820 1.801
Au 1.820 1.820 5.470
Au 1.820 1.820 12.849
Au 1.820 1.820 16.519
```

Calculated values
- SG: P4/mmm (123)
- Uncorrected energy: -4.4828 eV per atom
- Theoretical density: 11.0 g cm⁻³
- Formation enthalpy at 0 K: -0.697 eV/atom
- Total moment: 0.0 Bohr magnetons per cell

# 11
A plane-wave DFT calculation with PBE-GGA was carried out for a geometry-optimized TbMgAu4 structure.

```
6
Lattice="4.418 0.000 0.000 0.000 4.418 0.000 0.000 0.000 7.144" Properties=species:S:1:pos:R:3 pbc="T T T"
Tb 0.000 0.000 0.000
Mg 2.209 2.209 3.572
Au 0.000 2.209 1.976
Au 0.000 2.209 5.168
Au 2.209 0.000 1.976
Au 2.209 0.000 5.168
```

Calculated values
- SG: P4/mmm (123)
- Uncorrected energy: -3.6661 eV per atom
- ΔE to the lowest computed polymorph: 0.203 eV/atom
- Theoretical density: 11.6 g cm⁻³
- Formation enthalpy at 0 K: -0.444 eV/atom
- Total moment: 0.0 Bohr magnetons per cell

# 12
A plane-wave DFT calculation with PBE-GGA was carried out for a geometry-optimized Tb3MgAu4 structure.

```
8
Lattice="5.013 0.000 0.000 0.000 5.013 0.000 0.000 0.000 7.131" Properties=species:S:1:pos:R:3 pbc="T T T"
Tb 0.000 0.000 0.000
Tb 0.000 0.000 3.565
Tb 2.507 2.507 0.000
Mg 2.507 2.507 3.565
Au 0.000 2.507 1.806
Au 0.000 2.507 5.325
Au 2.507 0.000 1.806
Au 2.507 0.000 5.325
```

Calculated values
- SG: P4/mmm (123)
- Uncorrected energy: -4.3676 eV per atom
- Theoretical density: 11.9 g cm⁻³
- Formation enthalpy at 0 K: -0.793 eV/atom
- Total moment: 0.0 Bohr magnetons per cell

# 13
A plane-wave DFT calculation with PBE-GGA was carried out for a geometry-optimized TbMg5Au6 structure.

```
12
Lattice="4.755 0.000 0.000 0.000 6.800 0.000 -2.254 0.000 7.110" Properties=species:S:1:pos:R:3 pbc="T T T"
Tb 0.000 0.000 0.000
Mg 0.000 3.400 0.000
Mg 0.075 0.000 4.683
Mg 0.059 3.400 4.785
Mg 2.442 3.400 2.325
Mg 2.426 0.000 2.427
Au 0.068 1.772 2.435
Au 0.068 5.028 2.435
Au 2.377 1.800 0.000
Au 2.377 5.000 0.000
Au 2.432 1.772 4.676
Au 2.432 5.028 4.676
```

Calculated values
- SG: P2/m (10)
- Uncorrected energy: -3.3325 eV per atom
- Theoretical density: 10.6 g cm⁻³
- Formation enthalpy at 0 K: -0.644 eV/atom
- Total moment: 0.0 Bohr magnetons per cell

# 14
A plane-wave DFT calculation with PBE-GGA was carried out for a geometry-optimized Tb5MgAu6 structure.

```
12
Lattice="-2.520 3.593 7.583 2.520 -3.593 7.583 2.520 3.593 -7.583" Properties=species:S:1:pos:R:3 pbc="T T T"
Tb 0.000 0.000 0.000
Tb 2.520 0.000 2.567
Tb 0.000 0.000 5.152
Tb 0.000 0.000 10.014
Tb 0.000 3.593 5.016
Mg 0.000 3.593 0.000
Au 2.520 -1.801 5.054
Au 2.520 1.745 0.000
Au 0.000 1.792 2.529
Au 2.520 1.801 5.054
Au 0.000 1.849 7.583
Au 0.000 5.395 2.529
```

Calculated values
- SG: Immm (71)
- Uncorrected energy: -4.5111 eV per atom
- Theoretical density: 12.1 g cm⁻³
- Formation enthalpy at 0 K: -0.810 eV/atom
- Total moment: 0.0 Bohr magnetons per cell

# 15
A plane-wave DFT calculation with PBE-GGA was carried out for a geometry-optimized Tb3Mg2Au3 structure.

```
16
Lattice="8.614 0.000 0.000 -4.307 7.460 0.000 0.000 0.000 5.825" Properties=species:S:1:pos:R:3 pbc="T T T"
Tb -1.133 1.963 1.456
Tb -3.174 5.497 4.369
Tb 2.267 0.000 1.456
Tb 1.133 1.963 4.369
Tb 6.348 0.000 4.369
Tb 3.174 5.497 1.456
Mg 0.000 4.973 0.000
Mg 0.000 4.973 2.912
Mg 4.307 2.487 0.000
Mg 4.307 2.487 2.912
Au -1.686 2.920 4.369
Au -2.621 4.540 1.456
Au 3.372 0.000 4.369
Au 1.686 2.920 1.456
Au 5.242 0.000 1.456
Au 2.621 4.540 4.369
```

Calculated values
- SG: P6_3/mcm (193)
- Uncorrected energy: -4.0723 eV per atom
- ΔE to the lowest computed polymorph: 0.000 eV/atom
- Theoretical density: 9.9 g cm⁻³
- Formation enthalpy at 0 K: -0.708 eV/atom
- Total moment: 0.0 Bohr magnetons per cell

# 16
A plane-wave DFT calculation with PBE-GGA was carried out for a geometry-optimized TbMgAu structure.

```
9
Lattice="7.726 0.000 0.000 -3.863 6.691 0.000 0.000 0.000 4.011" Properties=species:S:1:pos:R:3 pbc="T T T"
Tb -2.279 3.947 0.000
Tb 1.584 2.744 0.000
Tb 4.557 0.000 0.000
Mg -0.961 1.665 2.006
Mg 1.922 0.000 2.006
Mg 2.902 5.026 2.006
Au 0.000 0.000 0.000
Au 0.000 4.460 2.006
Au 3.863 2.230 2.006
```

Calculated values
- SG: P-62m (189)
- Uncorrected energy: -3.8502 eV per atom
- Theoretical density: 9.1 g cm⁻³
- Formation enthalpy at 0 K: -0.683 eV/atom
- Total moment: 0.0 Bohr magnetons per cell

# 17
A plane-wave DFT calculation with PBE-GGA was carried out for a geometry-optimized TbMgAu structure.

```
3
Lattice="4.755 0.000 0.000 -2.377 4.118 0.000 0.000 0.000 3.533" Properties=species:S:1:pos:R:3 pbc="T T T"
Tb 0.000 0.000 0.000
Mg 2.377 1.373 1.767
Au 0.000 2.745 1.767
```

Calculated values
- SG: P-6m2 (187)
- Uncorrected energy: -3.6861 eV per atom
- Theoretical density: 9.1 g cm⁻³
- Formation enthalpy at 0 K: -0.519 eV/atom
- Total moment: 0.0 Bohr magnetons per cell

# 18
A plane-wave DFT calculation with PBE-GGA was carried out for a geometry-optimized TbMgAu structure.

```
12
Lattice="6.796 0.000 0.000 0.000 6.796 0.000 0.000 0.000 6.796" Properties=species:S:1:pos:R:3 pbc="T T T"
Tb 0.000 0.000 0.000
Tb 0.000 3.398 3.398
Tb 3.398 0.000 3.398
Tb 3.398 3.398 0.000
Mg 0.000 0.000 3.398
Mg 0.000 3.398 0.000
Mg 3.398 0.000 0.000
Mg 3.398 3.398 3.398
Au 1.699 1.699 5.097
Au 1.699 5.097 1.699
Au 5.097 1.699 1.699
Au 5.097 5.097 5.097
```

Calculated values
- SG: F-43m (216)
- Uncorrected energy: -3.6771 eV per atom
- Theoretical density: 8.0 g cm⁻³
- Formation enthalpy at 0 K: -0.510 eV/atom
- Total moment: 0.0 Bohr magnetons per cell

# 19
A plane-wave DFT calculation with PBE-GGA was carried out for a geometry-optimized TbMg2Au4 structure.

```
14
Lattice="15.131 0.000 0.000 0.000 4.585 0.000 -1.381 0.000 4.372" Properties=species:S:1:pos:R:3 pbc="T T T"
Tb 0.000 0.000 0.000
Tb 7.565 2.292 0.000
Mg 2.663 2.292 3.255
Mg 3.521 0.000 1.116
Mg 10.229 0.000 3.255
Mg 11.086 2.292 1.116
Au 1.166 0.000 2.776
Au 1.855 2.292 0.596
Au 4.329 0.000 3.776
Au 5.018 2.292 1.596
Au 9.421 0.000 0.596
Au 8.732 2.292 2.776
Au 12.583 0.000 1.596
Au 11.894 2.292 3.776
```

Calculated values
- SG: C2/m (12)
- Uncorrected energy: -3.5369 eV per atom
- Theoretical density: 10.9 g cm⁻³
- Formation enthalpy at 0 K: -0.547 eV/atom
- Total moment: 0.0 Bohr magnetons per cell

# 20
A plane-wave DFT calculation with PBE-GGA was carried out for a geometry-optimized TbMg3Au2 structure.

```
12
Lattice="4.307 0.000 0.000 0.000 8.469 0.000 0.000 0.000 7.170" Properties=species:S:1:pos:R:3 pbc="T T T"
Tb 0.000 0.694 0.000
Tb 0.000 7.775 3.585
Mg 0.000 2.693 4.382
Mg 0.000 5.776 0.797
Mg 2.154 1.689 2.367
Mg 2.154 3.552 6.734
Mg 2.154 4.917 3.149
Mg 2.154 6.780 5.952
Au 0.000 3.212 1.639
Au 0.000 5.257 5.224
Au 2.154 1.040 5.106
Au 2.154 7.429 1.521
```

Calculated values
- SG: Pmc2_1 (26)
- Uncorrected energy: -3.2539 eV per atom
- Theoretical density: 7.9 g cm⁻³
- Formation enthalpy at 0 K: -0.592 eV/atom
- Total moment: 0.0 Bohr magnetons per cell